Material: RbAgAs
Method: DFT, GGA-PBE
State: relaxed

```
data_RbAgAs
_cell_length_a 4.755
_cell_length_b 8.017
_cell_length_c 10.207
_cell_angle_alpha 90.00
_cell_angle_beta 90.00
_cell_angle_gamma 90.00
_space_group_name_H-M_alt 'I m m 2'
_space_group_IT_number 44
loop_
_space_group_symop_operation_xyz
'x,y,z'
'-x,-y,z'
'-x,y,z'
'x,-y,z'
'x+1/2,y+1/2,z+1/2'
'-x+1/2,-y+1/2,z+1/2'
'-x+1/2,y+1/2,z+1/2'
'x+1/2,-y+1/2,z+1/2'
loop_
_atom_site_label
_atom_site_fract_x
_atom_site_fract_y
_atom_site_fract_z
Rb1 0.000 0.000 0.000
Rb2 0.000 0.500 0.084
Ag1 0.000 0.315 0.754
As1 0.000 0.163 0.338
```

Output
For the formation enthalpy at 0 K, the calculation gives -205.3 meV/atom. For the spin magnetization, the calculation gives 0.000 μB per formula unit. Its polymorph energy (0 for the lowest one) is 0 meV/atom. The total energy comes out at -36.3 eV/cell. For the density of states at the Fermi level, the calculation gives 0.2 states/eV/f.u.